Entry 1:
Below is a geometry-optimized MgPtNF2 structure, with properties calculated at the GGA-PBE level.

a = 3.5291 Å, b = 3.5291 Å, c = 5.5682 Å
α = 90.00°, β = 90.00°, γ = 90.00°
Closest atoms and distances in Å follow each position.
Atoms (fractional coordinates):
Mg 0.0000 0.0000 0.0000  4 F 1.76
Pt 0.5000 0.5000 0.5000  4 N 2.50
N 0.0000 0.0000 0.5000  4 Pt 2.50, 2 Mg 2.78
F 0.0000 0.5000 0.0000  2 Mg 1.76
F 0.5000 0.0000 0.0000  2 Mg 1.76

Results
- Space-group type: P4/mmm
- Calculated total energy: -4.6299 eV/atom
- N(E_F): 3.36 states/eV/f.u.
- Formation energy (no corrections): -689 meV per atom

Entry 2:
Below is a geometry-optimized TlAsS2Cl structure, with properties calculated at the GGA-PBE level.

a = 4.8022 Å, b = 4.8022 Å, c = 5.3392 Å
α = 90.00°, β = 90.00°, γ = 90.00°
Closest atoms and distances in Å follow each position.
Atoms (fractional coordinates):
Tl 0.0000 0.0000 0.0000  4 Cl 3.40, 8 S 3.59
As 0.5000 0.5000 0.5000  4 S 2.40, 2 Cl 2.67
S 0.0000 0.5000 0.5000  2 As 2.40
S 0.5000 0.0000 0.5000  2 As 2.40
Cl 0.5000 0.5000 0.0000  2 As 2.67

Results
- Space-group type: P4/mmm
- Calculated total energy: -3.5346 eV/atom
- N(E_F): 1.78 states/eV/f.u.
- Formation energy (no corrections): -111 meV per atom

Entry 3:
Below is a geometry-optimized HoHgPd6 structure, with properties calculated at the GGA-PBE level.

a = 5.4711 Å, b = 5.4711 Å, c = 5.4711 Å
α = 84.45°, β = 84.45°, γ = 84.45°
Closest atoms and distances in Å follow each position.
Atoms (fractional coordinates):
Ho 0.0000 0.0000 0.0000  6 Pd 2.71
Hg 0.5000 0.5000 0.5000  6 Pd 2.74
Pd 0.1597 0.1597 0.5321  5 Pd 2.66-2.85, 1 Ho 2.71, 1 Hg 2.74
Pd 0.1597 0.5321 0.1597  5 Pd 2.66-2.85, 1 Ho 2.71, 1 Hg 2.74
Pd 0.4679 0.8403 0.8403  5 Pd 2.66-2.85, 1 Ho 2.71, 1 Hg 2.74
Pd 0.5321 0.1597 0.1597  5 Pd 2.66-2.85, 1 Ho 2.71, 1 Hg 2.74
Pd 0.8403 0.4679 0.8403  5 Pd 2.66-2.85, 1 Ho 2.71, 1 Hg 2.74
Pd 0.8403 0.8403 0.4679  5 Pd 2.66-2.85, 1 Ho 2.71, 1 Hg 2.74

Results
- Space-group type: R-3m
- Calculated total energy: -4.5535 eV/atom
- N(E_F): 4.37 states/eV/f.u.
- DFT formation energy: -49 meV/atom

Number 1: volume 69 Å³ per cell. Number 2: volume 123 Å³ per cell. Number 3: volume 162 Å³ per cell.